(1)
CrGaCoRh: relaxed, PBE.

The formation energy is -4.91 kcal/mol of atoms.

The structure belongs to space group F-43m (No. 216); the cell edges are 5.907, 5.907 and 5.907 Å and the angles 90.00°, 90.00° and 90.00°. The distinct sites, in fractional coordinates, are Cr at (0.000, 0.000, 0.000), Ga at (0.000, 0.000, 0.500), Co at (0.250, 0.250, 0.750) and Rh at (0.250, 0.250, 0.250).

(2)
ScAl2H: relaxed, PBE.

The structure belongs to space group Fm-3m (No. 225); the cell edges are 6.455, 6.455 and 6.455 Å and the angles 90.00°, 90.00° and 90.00°. The distinct sites, in fractional coordinates, are Sc at (0.000, 0.000, 0.000), Al at (0.250, 0.250, 0.250) and H at (0.000, 0.000, 0.500).

(3)
ZnCu4Au6: relaxed, PBE.

The formation energy is 0.86 kcal/mol of atoms.

The structure belongs to space group I-42m (No. 121); the cell edges are 5.142, 5.142 and 13.755 Å and the angles 90.00°, 90.00° and 90.00°. The distinct sites, in fractional coordinates, are Zn at (0.000, 0.000, 0.000), Cu at (0.185, 0.185, 0.365), Au at (0.000, 0.500, 0.000) and Au at (0.199, 0.199, 0.176).

no.,mass density (g/cm³),VASP energy (eV per cell)
1,9.14,-111.837
2,2.47,-60.391
3,13.71,-73.822